The following is a DFT calculation (GGA-PBE) of a relaxed structure of CaFeSbI2.

Cell: 5.939 5.939 6.389 Å, 90.00 90.00 90.00°
Fractional positions:
Ca 0.000 0.000 0.000
Fe 0.500 0.500 0.500
Sb 0.000 0.000 0.500
I 0.000 0.500 0.000
I 0.500 0.000 0.000

Results
* magnetization: 2.462 Bohr magnetons per cell
* E_form (uncorrected): 0.43 eV per atom
* total DFT energy (no corrections): -3.11 eV per atom

---

The following is a DFT calculation (GGA-PBE) of a relaxed structure of Ce8Bi2Rh.

Cell: 9.186 9.186 6.525 Å, 105.42 105.42 36.06°
Fractional positions:
Ce 0.002 0.002 0.284
Ce 0.227 0.227 0.640
Ce 0.370 0.370 0.168
Ce 0.394 0.394 0.757
Ce 0.606 0.606 0.243
Ce 0.630 0.630 0.832
Ce 0.773 0.773 0.360
Ce 0.998 0.998 0.716
Bi 0.174 0.174 0.109
Bi 0.826 0.826 0.891
Rh 0.500 0.500 0.500

Results
* ΔE_f: -0.320 eV per atom
* magnetization: 6.227 Bohr magnetons per cell
* total DFT energy (no corrections): -6.01 eV per atom

---

The following is a DFT calculation (GGA-PBE) of a relaxed structure of CaPr4Dy5.

Cell: 9.161 9.161 11.579 Å, 103.74 103.74 22.79°
Fractional positions:
Ca 0.000 0.000 0.000
Pr 0.187 0.187 0.728
Pr 0.480 0.480 0.250
Pr 0.520 0.520 0.750
Pr 0.813 0.813 0.272
Dy 0.000 0.000 0.500
Dy 0.330 0.330 0.001
Dy 0.336 0.336 0.562
Dy 0.664 0.664 0.438
Dy 0.670 0.670 0.999

Results
* ΔE_f: 0.242 eV per atom
* magnetization: 0.000 Bohr magnetons per cell
* total DFT energy (no corrections): -4.17 eV per atom

---

The following is a DFT calculation (GGA-PBE) of a relaxed structure of ZnFe4Rh15.

Cell: 3.816 3.816 18.989 Å, 90.00 90.00 90.00°
Fractional positions:
Zn 0.000 0.000 0.000
Fe 0.000 0.000 0.200
Fe 0.000 0.000 0.400
Fe 0.000 0.000 0.600
Fe 0.000 0.000 0.800
Rh 0.000 0.500 0.103
Rh 0.000 0.500 0.301
Rh 0.000 0.500 0.500
Rh 0.000 0.500 0.699
Rh 0.000 0.500 0.897
Rh 0.500 0.000 0.103
Rh 0.500 0.000 0.301
Rh 0.500 0.000 0.500
Rh 0.500 0.000 0.699
Rh 0.500 0.000 0.897
Rh 0.500 0.500 0.000
Rh 0.500 0.500 0.201
Rh 0.500 0.500 0.400
Rh 0.500 0.500 0.600
Rh 0.500 0.500 0.799

Results
* ΔE_f: -0.072 eV per atom
* magnetization: 0.487 Bohr magnetons per cell
* total DFT energy (no corrections): -7.34 eV per atom

---

The following is a DFT calculation (GGA-PBE) of a relaxed structure of Cd6BiPd12.

Cell: 7.197 7.197 7.197 Å, 101.73 101.73 101.73°
Fractional positions:
Cd 0.055 0.322 0.324
Cd 0.322 0.324 0.055
Cd 0.324 0.055 0.322
Cd 0.676 0.945 0.678
Cd 0.678 0.676 0.945
Cd 0.945 0.678 0.676
Bi 0.500 0.500 0.500
Pd 0.092 0.093 0.681
Pd 0.093 0.681 0.092
Pd 0.240 0.500 0.760
Pd 0.240 0.760 0.500
Pd 0.319 0.908 0.907
Pd 0.500 0.240 0.760
Pd 0.500 0.760 0.240
Pd 0.681 0.092 0.093
Pd 0.760 0.240 0.500
Pd 0.760 0.500 0.240
Pd 0.907 0.319 0.908
Pd 0.908 0.907 0.319

Results
* ΔE_f: -0.147 eV per atom
* magnetization: 0.000 Bohr magnetons per cell
* total DFT energy (no corrections): -3.92 eV per atom

---

The following is a DFT calculation (GGA-PBE) of a relaxed structure of TlTeAs2O8.

Cell: 9.637 9.637 9.637 Å, 30.74 30.74 30.74°
Fractional positions:
Tl 0.000 0.000 0.000
Te 0.500 0.500 0.500
As 0.235 0.235 0.235
As 0.765 0.765 0.765
O 0.119 0.765 0.480
O 0.235 0.520 0.881
O 0.296 0.296 0.296
O 0.480 0.119 0.765
O 0.520 0.881 0.235
O 0.704 0.704 0.704
O 0.765 0.480 0.119
O 0.881 0.235 0.520

Results
* magnetization: 0.693 Bohr magnetons per cell
* E_form (uncorrected): -1.01 eV per atom
* total DFT energy (no corrections): -5.55 eV per atom